Record 1
## LiGaGePd (PBE-GGA)

Data for a geometry-optimized LiGaGePd structure.

abc: 6.265 6.265 6.265
angles: 90.00 90.00 90.00
Fractional coordinates of all 16 atoms:
Li: 0.000 0.000 0.000
Li: 0.000 0.500 0.500
Li: 0.500 0.000 0.500
Li: 0.500 0.500 0.000
Ga: 0.000 0.000 0.500
Ga: 0.000 0.500 0.000
Ga: 0.500 0.000 0.000
Ga: 0.500 0.500 0.500
Ge: 0.250 0.250 0.750
Ge: 0.250 0.750 0.250
Ge: 0.750 0.250 0.250
Ge: 0.750 0.750 0.750
Pd: 0.250 0.250 0.250
Pd: 0.250 0.750 0.750
Pd: 0.750 0.250 0.750
Pd: 0.750 0.750 0.250

Polymorph energy (0 for the lowest one) = 0.37 eV/f.u.

=====

Record 2
## DyGeAsO (PBE-GGA)

Data for a geometry-optimized DyGeAsO structure.

abc: 4.011 4.011 9.473
angles: 90.00 90.00 90.00
Fractional coordinates of all 8 atoms:
Dy: 0.250 0.250 0.112
Dy: 0.750 0.750 0.888
Ge: 0.250 0.750 0.500
Ge: 0.750 0.250 0.500
As: 0.250 0.250 0.707
As: 0.750 0.750 0.293
O: 0.250 0.750 0.000
O: 0.750 0.250 0.000

Magnetic moment = 0.0 Bohr magnetons per cell
Polymorph energy (0 for the lowest one) = 0.00 eV/f.u.

=====

Record 3
## Tl2CdI4 (PBE-GGA)

Data for a geometry-optimized Tl2CdI4 structure.

abc: 8.097 8.322 9.474
angles: 90.00 107.12 90.00
Fractional coordinates of all 14 atoms:
Tl: 0.227 0.250 0.055
Tl: 0.235 0.250 0.561
Tl: 0.765 0.750 0.439
Tl: 0.773 0.750 0.945
Cd: 0.233 0.750 0.309
Cd: 0.767 0.250 0.691
I: 0.008 0.509 0.755
I: 0.008 0.991 0.755
I: 0.429 0.750 0.109
I: 0.432 0.750 0.606
I: 0.568 0.250 0.394
I: 0.571 0.250 0.891
I: 0.992 0.009 0.245
I: 0.992 0.491 0.245

Total DFT energy (no corrections) = -16.20 eV/f.u.

=====

Record 4
## La3Zn3NiIr2 (PBE-GGA)

Data for a geometry-optimized La3Zn3NiIr2 structure.

abc: 7.324 7.324 4.008
angles: 90.00 90.00 120.00
Fractional coordinates of all 9 atoms:
La: 0.000 0.415 0.000
La: 0.415 0.000 0.000
La: 0.585 0.585 0.000
Zn: 0.000 0.771 0.500
Zn: 0.229 0.229 0.500
Zn: 0.771 0.000 0.500
Ni: 0.000 0.000 0.000
Ir: 0.333 0.667 0.500
Ir: 0.667 0.333 0.500

Magnetic moment = 0.0 Bohr magnetons per cell
Total DFT energy (no corrections) = -46.96 eV/f.u.

=====

Record 5
## SmTlPdS3 (PBE-GGA)

Data for a geometry-optimized SmTlPdS3 structure.

abc: 7.589 7.589 10.388
angles: 90.00 90.00 149.58
Fractional coordinates of all 12 atoms:
Sm: 0.000 0.000 0.000
Sm: 0.000 0.000 0.500
Tl: 0.243 0.757 0.750
Tl: 0.757 0.243 0.250
Pd: 0.489 0.511 0.250
Pd: 0.511 0.489 0.750
S: 0.083 0.917 0.250
S: 0.377 0.623 0.078
S: 0.377 0.623 0.422
S: 0.623 0.377 0.578
S: 0.623 0.377 0.922
S: 0.917 0.083 0.750

Magnetic moment = 0.0 Bohr magnetons per cell
Total DFT energy (no corrections) = -30.17 eV/f.u.

=====

Record 6
## KTcAsO (PBE-GGA)

Data for a geometry-optimized KTcAsO structure.

abc: 3.608 3.608 9.767
angles: 90.00 90.00 90.00
Fractional coordinates of all 8 atoms:
K: 0.250 0.750 0.000
K: 0.750 0.250 0.000
Tc: 0.250 0.250 0.375
Tc: 0.750 0.750 0.625
As: 0.250 0.250 0.743
As: 0.750 0.750 0.257
O: 0.250 0.750 0.500
O: 0.750 0.250 0.500

Magnetic moment = 1.3 Bohr magnetons per cell
Polymorph energy (0 for the lowest one) = 3.27 eV/f.u.